No. 1
The following is a PBE calculation of a relaxed structure of PmTh5Pb4, from the Alexandria database.

Structure (extended XYZ):
```
10
Lattice="-4.421 -1.088 3.324 -3.759 -1.505 -5.493 7.080 -6.053 2.654" Properties=species:S:1:pos:R:3 pbc="T T T"
Pb -0.443 -5.433 -2.368
Pb -0.395 -1.650 -1.065
Pb -0.706 -6.997 1.550
Pb -0.657 -3.214 2.853
Pm -2.210 -0.544 1.662
Th -4.090 -1.297 -1.085
Th -2.076 -2.824 -3.686
Th -2.456 -4.106 0.169
Th 1.355 -4.540 0.316
Th 0.976 -5.823 4.171
```

Crystal system ... monoclinic
Total magnetization ... 0.000 μB per formula unit
Energy ... -5.93 eV per atom
Energy of formation from the pure elements ... -0.261 eV/atom

=====

No. 2
The following is a PBE calculation of a relaxed structure of Zn2Ga2Ag5, from the Alexandria database.

Structure (extended XYZ):
```
18
Lattice="-0.890 -1.958 -4.451 1.663 -6.955 2.728 -8.237 3.381 2.904" Properties=species:S:1:pos:R:3 pbc="T T T"
Ga -6.899 -2.132 -0.084
Ag -0.711 -6.258 -0.248
Ag -0.969 -1.517 1.259
Ga -0.387 -4.143 1.556
Ag -2.844 0.494 0.054
Ag -5.558 0.122 0.760
Zn 1.484 -6.208 2.434
Ga -5.734 -4.876 2.948
Zn 0.208 -3.709 -1.155
Ag -7.456 0.001 -1.654
Ga -1.552 -1.399 -1.475
Ag -2.361 -3.750 -0.326
Ag -4.409 -1.771 -1.486
Zn -3.696 -1.859 1.209
Ag -3.003 -3.983 2.753
Ag -6.050 -2.213 2.582
Ag -5.076 -4.122 0.380
Zn -3.196 -6.067 0.911
```

Crystal system ... orthorhombic
Energy above the most stable polymorph in this dataset ... 0.137 eV per formula unit
Total magnetization ... 0.000 μB per formula unit
Energy ... -2.53 eV per atom
Energy of formation from the pure elements ... 0.007 eV/atom

=====

Question: What is the energy of formation from the pure elements in the second record?
Answer: 0.007 eV/atom

=====

Question: Look up the energy of formation from the pure elements of the second one.
Answer: 0.007 eV/atom

=====

Question: Which formula does entry 2 have?
Answer: Zn2Ga2Ag5